1.
Nb2TcOs | meta-GGA SCAN | PBEsol geometry

Calculated values
Crystal system: cubic
Energy of formation from the pure elements in eV per formula unit: -1.4
D(E_F) in states/eV per cell: 2.5
Total magnetic moment in μB/atom: 0.000
E in eV/cell: -174.62

```
Nb2TcOs
1.0
0.000 3.161 3.161
3.161 0.000 3.161
3.161 3.161 0.000
Nb Tc Os
2 1 1
direct
0.250 0.250 0.250 Nb
0.750 0.750 0.750 Nb
0.000 0.000 0.000 Tc
0.500 0.500 0.500 Os
```

2.
Nb3TeOs | meta-GGA SCAN | PBEsol geometry

Calculated values
Crystal system: cubic
D(E_F) in states/eV per cell: 6.8
Total magnetic moment in μB/atom: 0.000
Formation energy without anion corrections in eV per atom: 2.053
E in eV/cell: -198.25

```
Nb3TeOs
1.0
4.847 0.000 0.000
0.000 4.847 0.000
0.000 0.000 4.847
Nb Te Os
3 1 1
direct
0.000 0.000 0.500 Nb
0.000 0.500 0.000 Nb
0.500 0.000 0.000 Nb
0.000 0.000 0.000 Te
0.500 0.500 0.500 Os
```

3.
NbTe4Os | meta-GGA SCAN | PBEsol geometry

Calculated values
Crystal system: orthorhombic
D(E_F) in states/eV per cell: 9.8
Total magnetic moment in μB/atom: 0.000
Formation energy without anion corrections in eV per atom: -0.319
E in eV/cell: -1023.70

```
NbTe4Os
1.0
3.745 0.000 0.000
0.000 12.387 0.000
0.000 0.000 12.921
Nb Te Os
4 16 4
direct
0.000 0.055 0.000 Nb
0.000 0.280 0.483 Nb
0.500 0.720 0.983 Nb
0.500 0.945 0.500 Nb
0.000 0.072 0.386 Te
0.000 0.192 0.838 Te
0.000 0.341 0.088 Te
0.000 0.423 0.639 Te
0.000 0.570 0.388 Te
0.000 0.671 0.834 Te
0.000 0.845 0.102 Te
0.000 0.896 0.649 Te
0.500 0.104 0.149 Te
0.500 0.155 0.602 Te
0.500 0.329 0.334 Te
0.500 0.430 0.888 Te
0.500 0.577 0.139 Te
0.500 0.659 0.588 Te
0.500 0.808 0.338 Te
0.500 0.928 0.886 Te
0.000 0.539 0.997 Os
0.000 0.768 0.481 Os
0.500 0.232 0.981 Os
0.500 0.461 0.497 Os
```

4.
Ti3NbOs | meta-GGA SCAN | PBEsol geometry

Calculated values
Crystal system: cubic
Energy of formation from the pure elements in eV per formula unit: 6.9
D(E_F) in states/eV per cell: 7.0
Total magnetic moment in μB/atom: 0.000
E in eV/cell: -146.16

```
Ti3NbOs
1.0
4.520 0.000 0.000
0.000 4.520 0.000
0.000 0.000 4.520
Ti Nb Os
3 1 1
direct
0.000 0.000 0.500 Ti
0.000 0.500 0.000 Ti
0.500 0.000 0.000 Ti
0.000 0.000 0.000 Nb
0.500 0.500 0.500 Os
```

5.
Y2NbOs2 | meta-GGA SCAN | PBEsol geometry

Calculated values
Crystal system: tetragonal
Energy of formation from the pure elements in eV per formula unit: -1.3
D(E_F) in states/eV per cell: 8.6
Total magnetic moment in μB/atom: 0.000
E in eV/cell: -467.70

```
Y2NbOs2
1.0
6.685 0.000 0.000
0.000 6.685 0.000
0.000 0.000 4.649
Y Nb Os
4 2 4
direct
0.179 0.321 0.000 Y
0.321 0.821 0.000 Y
0.679 0.179 0.000 Y
0.821 0.679 0.000 Y
0.000 0.000 0.500 Nb
0.500 0.500 0.500 Nb
0.128 0.628 0.500 Os
0.372 0.128 0.500 Os
0.628 0.872 0.500 Os
0.872 0.372 0.500 Os
```

6.
ZrNb3Os | meta-GGA SCAN | PBEsol geometry

Calculated values
Crystal system: cubic
Energy of formation from the pure elements in eV per formula unit: 3.9
D(E_F) in states/eV per cell: 6.1
Total magnetic moment in μB/atom: 0.000
E in eV/cell: -198.09

```
ZrNb3Os
1.0
4.816 0.000 0.000
0.000 4.816 0.000
0.000 0.000 4.816
Zr Nb Os
1 3 1
direct
0.000 0.000 0.000 Zr
0.000 0.500 0.500 Nb
0.500 0.000 0.500 Nb
0.500 0.500 0.000 Nb
0.500 0.500 0.500 Os
```

What did the second record say?
Nb3TeOs | meta-GGA SCAN | PBEsol geometry

Calculated values
Crystal system: cubic
D(E_F) in states/eV per cell: 6.8
Total magnetic moment in μB/atom: 0.000
Formation energy without anion corrections in eV per atom: 2.053
E in eV/cell: -198.25

```
Nb3TeOs
1.0
4.847 0.000 0.000
0.000 4.847 0.000
0.000 0.000 4.847
Nb Te Os
3 1 1
direct
0.000 0.000 0.500 Nb
0.000 0.500 0.000 Nb
0.500 0.000 0.000 Nb
0.000 0.000 0.000 Te
0.500 0.500 0.500 Os
```

- Among the records above, which one has the highest D(E_F)?
  NbTe4Os

- Look up the total magnetic moment of the sixth one.
  0.000 μB/atom